Entry 1:
The following is a DFT calculation (PBE) of an optimized crystal structure of LiZr2Be.

Output
Uncorrected energy ... -22.1 eV for the cell shown
Crystal system ... tetragonal
ΔH_f (0 K) ... 0.17 eV/atom

abc: 3.0500 3.0500 7.8000
angles: 90.00 90.00 90.00
Last column: nearest neighbours and their distance in Å.
Fractional positions:
1 Li 0.0000 0.0000 0.0000  4 Be 2.54
2 Zr 0.0000 0.0000 0.6004  4 Be 2.80, 4 Zr 3.05, 1 Li 3.12
3 Zr 0.5000 0.5000 0.3034  8 Zr 3.05-3.16, 4 Li 3.20
4 Be 0.5000 0.5000 0.8284  4 Li 2.54, 4 Zr 2.80



Entry 2:
The following is a DFT calculation (PBE) of an optimized crystal structure of AcHfRh4.

Output
Uncorrected energy ... -46.1 eV for the cell shown
Crystal system ... cubic
ΔH_f (0 K) ... -0.44 eV/atom

abc: 5.3814 5.3814 5.3814
angles: 60.00 60.00 60.00
Last column: nearest neighbours and their distance in Å.
Fractional positions:
1 Ac 0.0000 0.0000 0.0000  12 Rh 3.16, 4 Hf 3.30
2 Hf 0.2500 0.2500 0.2500  12 Rh 3.15, 4 Ac 3.30
3 Rh 0.1275 0.6242 0.6242  6 Rh 2.67-2.71
4 Rh 0.6242 0.1275 0.6242  6 Rh 2.67-2.71
5 Rh 0.6242 0.6242 0.1275  6 Rh 2.67-2.71
6 Rh 0.6242 0.6242 0.6242  6 Rh 2.67-2.71



Entry 3:
The following is a DFT calculation (PBE) of an optimized crystal structure of Pr6Tm3Pu.

Output
Uncorrected energy ... -108.4 eV for the cell shown
Crystal system ... monoclinic
ΔH_f (0 K) ... 0.22 eV/atom

abc: 6.1597 9.4651 13.0546
angles: 90.00 117.05 90.00
Last column: nearest neighbours and their distance in Å.
Fractional positions:
1 Pr 0.0664 0.1629 0.0734  1 Pu 3.30, 3 Tm 3.48-3.57, 2 Pr 3.52-3.60
2 Pr 0.0664 0.3371 0.5734  1 Pu 3.30, 3 Tm 3.48-3.57, 2 Pr 3.52-3.60
3 Pr 0.3743 0.0157 0.7438  1 Pu 2.97, 2 Tm 3.07-3.32
4 Pr 0.3743 0.4843 0.2438  1 Pu 2.97, 2 Tm 3.07-3.32
5 Pr 0.4151 0.1596 0.4283  2 Tm 3.33-3.51, 2 Pu 3.45-3.62, 2 Pr 3.46-3.48
6 Pr 0.4151 0.3404 0.9283  2 Tm 3.33-3.51, 2 Pu 3.45-3.62, 2 Pr 3.46-3.48
7 Pr 0.5849 0.6596 0.0717  2 Tm 3.33-3.51, 2 Pu 3.45-3.62, 2 Pr 3.46-3.48
8 Pr 0.5849 0.8404 0.5717  2 Tm 3.33-3.51, 2 Pu 3.45-3.62, 2 Pr 3.46-3.48
9 Pr 0.6257 0.5157 0.7562  1 Pu 2.97, 2 Tm 3.07-3.32
10 Pr 0.6257 0.9843 0.2562  1 Pu 2.97, 2 Tm 3.07-3.32
11 Pr 0.9336 0.6629 0.4266  1 Pu 3.30, 3 Tm 3.48-3.57, 2 Pr 3.52-3.60
12 Pr 0.9336 0.8371 0.9266  1 Pu 3.30, 3 Tm 3.48-3.57, 2 Pr 3.52-3.60
13 Tm 0.1323 0.6662 0.7483  5 Pr 3.32-3.64
14 Tm 0.1323 0.8338 0.2483  5 Pr 3.32-3.64
15 Tm 0.5000 0.0000 0.0000  4 Pr 3.07-3.33
16 Tm 0.5000 0.5000 0.5000  4 Pr 3.07-3.33
17 Tm 0.8677 0.1662 0.7517  5 Pr 3.32-3.64
18 Tm 0.8677 0.3338 0.2517  5 Pr 3.32-3.64
19 Pu 0.0000 0.0000 0.5000  4 Pr 2.97-3.30
20 Pu 0.0000 0.5000 0.0000  4 Pr 2.97-3.30



Entry 4:
The following is a DFT calculation (PBE) of an optimized crystal structure of PdRuN2O.

Output
Uncorrected energy ... -27.4 eV for the cell shown
Crystal system ... tetragonal

abc: 3.8998 3.8998 3.9809
angles: 90.00 90.00 90.00
Last column: nearest neighbours and their distance in Å.
Fractional positions:
1 Pd 0.0000 0.0000 0.0000  4 N 1.95, 2 O 1.99
2 Ru 0.5000 0.5000 0.5000  4 O 2.76, 8 N 2.79
3 N 0.0000 0.5000 0.0000  2 Pd 1.95
4 N 0.5000 0.0000 0.0000  2 Pd 1.95
5 O 0.0000 0.0000 0.5000  2 Pd 1.99